Computed, not measured: a relaxed structure of YZr3H at the GGA-PBEsol level of DFT.

## Properties
DOS(E_F) (states/eV per atom): 1.343
Calculated density (g cm⁻³): 6.32
E_tot (eV per atom): -7.544

Lattice parameters (Å, degrees): 4.5703 4.5703 4.5703 90.00 90.00 90.00
With the nearest neighbours (Å) after each atom.
Space group Pm-3m (No. 221)
Unique sites:
Y  0.0000  0.0000  0.0000 x1  12 Zr 3.23
Zr  0.0000  0.5000  0.5000 x3  2 H 2.29
H  0.5000  0.5000  0.5000 x1  6 Zr 2.29

***

Computed, not measured: a relaxed structure of YZrH2 at the GGA-PBEsol level of DFT.

## Properties
DOS(E_F) (states/eV per atom): 0.974
Calculated density (g cm⁻³): 5.77
E_tot (eV per atom): -5.372

Lattice parameters (Å, degrees): 5.9404 5.9404 5.9404 90.00 90.00 90.00
With the nearest neighbours (Å) after each atom.
Space group Fm-3m (No. 225)
Unique sites:
Y  0.0000  0.0000  0.0000 x4  8 H 2.57
Zr  0.0000  0.0000  0.5000 x4  8 H 2.57
H  0.2500  0.2500  0.2500 x8  4 Zr 2.57, 4 Y 2.57

***

Computed, not measured: a relaxed structure of ZnH6 at the GGA-PBEsol level of DFT.

## Properties
DOS(E_F) (states/eV per atom): 0.000
Calculated density (g cm⁻³): 1.96
E_tot (eV per atom): -2.878

Lattice parameters (Å, degrees): 11.1196 4.6388 4.6902 90.00 90.00 90.00
With the nearest neighbours (Å) after each atom.
Space group Pca2_1 (No. 29)
Unique sites:
Zn  0.1754  0.0029  0.0000 x4  3 H 1.54-1.69
H  0.0472  0.0123  0.1215 x4  1 Zn 1.54
H  0.0613  0.5807  0.4723 x4  1 H 0.77
H  0.0632  0.4151  0.4657 x4  1 H 0.77
H  0.1533  0.5044  0.9903 x4  1 H 0.78
H  0.1879  0.0000  0.6418 x4  2 Zn 1.66-1.69
H  0.2226  0.5092  0.9669 x4  1 H 0.78

***

Computed, not measured: a relaxed structure of Zr2Zn2H at the GGA-PBEsol level of DFT.

## Properties
DOS(E_F) (states/eV per atom): 0.812
Calculated density (g cm⁻³): 5.20
E_tot (eV per atom): -4.030

Lattice parameters (Å, degrees): 3.9166 3.9166 13.0863 90.00 90.00 90.00
With the nearest neighbours (Å) after each atom.
Space group I4/mmm (No. 139)
Unique sites:
Zr  0.0000  0.5000  0.2500 x4  4 Zr 2.77, 4 Zn 2.87
Zn  0.0000  0.0000  0.0895 x4  1 Zn 2.34
H  0.0000  0.0000  0.5000 x2  8 Zn 3.01

***

Computed, not measured: a relaxed structure of Zr2ZnH2 at the GGA-PBEsol level of DFT.

## Properties
DOS(E_F) (states/eV per atom): 0.417
Calculated density (g cm⁻³): 6.30
E_tot (eV per atom): -5.427

Lattice parameters (Å, degrees): 4.3893 4.3893 6.8389 90.00 90.00 90.00
With the nearest neighbours (Å) after each atom.
Space group I4/mmm (No. 139)
Unique sites:
Zr  0.0000  0.5000  0.2500 x4  4 H 2.22
Zn  0.0000  0.0000  0.0000 x2  2 H 2.01
H  0.0000  0.0000  0.2943 x4  1 Zn 2.01, 4 Zr 2.22

***

Computed, not measured: a relaxed structure of ZrH2 at the GGA-PBEsol level of DFT.

## Properties
DOS(E_F) (states/eV per atom): 0.185
Calculated density (g cm⁻³): 5.85
E_tot (eV per atom): -5.870

Lattice parameters (Å, degrees): 3.5056 3.5056 4.3044 90.00 90.00 90.00
With the nearest neighbours (Å) after each atom.
Space group I4/mmm (No. 139)
Unique sites:
Zr  0.0000  0.0000  0.0000 x2  8 H 2.06
H  0.0000  0.5000  0.2500 x4  4 Zr 2.06, 2 H 2.15

***

Computed, not measured: a relaxed structure of Hf at the GGA-PBEsol level of DFT.

## Properties
DOS(E_F) (states/eV per atom): 0.686
Calculated density (g cm⁻³): 13.81
ΔH_f (0 K) (eV per atom): 0.000

Lattice parameters (Å, degrees): 3.1533 3.1533 4.9842 90.00 90.00 120.00
With the nearest neighbours (Å) after each atom.
Space group P6_3/mmc (No. 194)
Unique sites:
Hf  0.3333  0.6667  0.2500 x2  12 Hf 3.09-3.15

***

Computed, not measured: a relaxed structure of Hf at the GGA-PBEsol level of DFT.

## Properties
DOS(E_F) (states/eV per atom): 0.736
Calculated density (g cm⁻³): 13.96
ΔH_f (0 K) (eV per atom): 0.034

Lattice parameters (Å, degrees): 4.9029 4.9029 3.0586 90.00 90.00 120.00
With the nearest neighbours (Å) after each atom.
Space group P6/mmm (No. 191)
Unique sites:
Hf  0.0000  0.0000  0.0000 x1  14 Hf 3.06-3.22
Hf  0.3333  0.6667  0.5000 x2  5 Hf 2.83-3.06

***

What did the third record say?
Computed, not measured: a relaxed structure of ZnH6 at the GGA-PBEsol level of DFT.

## Properties
DOS(E_F) (states/eV per atom): 0.000
Calculated density (g cm⁻³): 1.96
E_tot (eV per atom): -2.878

Lattice parameters (Å, degrees): 11.1196 4.6388 4.6902 90.00 90.00 90.00
With the nearest neighbours (Å) after each atom.
Space group Pca2_1 (No. 29)
Unique sites:
Zn  0.1754  0.0029  0.0000 x4  3 H 1.54-1.69
H  0.0472  0.0123  0.1215 x4  1 Zn 1.54
H  0.0613  0.5807  0.4723 x4  1 H 0.77
H  0.0632  0.4151  0.4657 x4  1 H 0.77
H  0.1533  0.5044  0.9903 x4  1 H 0.78
H  0.1879  0.0000  0.6418 x4  2 Zn 1.66-1.69
H  0.2226  0.5092  0.9669 x4  1 H 0.78